First-principles (PBE-GGA) data for an optimized crystal structure of La3TlHg2, as listed in Alexandria.

The electronic total energy comes out at -3.430 eV/atom. The mass density is 9.3 Mg/m³. As for the density of states at the Fermi level: 13.598 states/eV per cell. As for the formation energy: -0.471 eV per atom.

The structure belongs to space group Cmmm (No. 65); the cell edges are 5.568, 16.705 and 3.937 Å and the angles 90.00°, 90.00° and 90.00°. The distinct sites, in fractional coordinates, are La at (0.000, 0.000, 0.000), La at (0.000, 0.331, 0.000), Tl at (0.000, 0.500, 0.500) and Hg at (0.000, 0.166, 0.500).